## BeAlNi (PBEsol)

Data for a relaxed structure of BeAlNi.

Space group: No. 216
Offset from the most stable computed form in eV/atom: 0.366
Energy of formation in eV/atom: -0.046
Uncorrected energy in eV/atom: -4.80

a = 3.707 Å, b = 3.707 Å, c = 3.707 Å
α = 60.00°, β = 60.00°, γ = 60.00°
Fractional coordinates of all 3 atoms:
Al (0.500, 0.500, 0.500)
Be (0.250, 0.250, 0.250)
Ni (0.000, 0.000, 0.000)